(1)
A geometry-optimized PrVAs2 structure. Source: Alexandria, functional PBE.

## Properties
Size of the total moment   0.00 μB/cell
ρ   6.4 g cm⁻³
Energy of formation from the pure elements   -0.13 eV/atom

Cell lengths 3.2549, 3.2549, 28.7773 Å; angles 90.00, 90.00, 120.00 degrees
Closest atoms and distances in Å follow each position.
Space group R-3m (No. 166, hexagonal axes)
Inequivalent atoms, fractional coordinates:
Pr1 0.0000 0.0000 0.0000 x3  2 As 3.08, 6 Pr 3.25
V1 0.0000 0.0000 0.5000 x3  6 As 2.55
As1 0.0000 0.0000 0.1070 x6  3 V 2.55



(2)
A geometry-optimized Pr4YAs5 structure. Source: Alexandria, functional PBE.

## Properties
Size of the total moment   0.00 μB/cell
ρ   6.2 g cm⁻³
Energy of formation from the pure elements   -1.50 eV/atom

Cell lengths 9.5543, 9.5543, 6.0484 Å; angles 90.00, 90.00, 90.00 degrees
Closest atoms and distances in Å follow each position.
Space group I4/m (No. 87)
Inequivalent atoms, fractional coordinates:
Pr1 0.0986 0.2997 0.0000 x8  6 As 3.01-3.06
Y1 0.0000 0.0000 0.5000 x2  6 As 2.97-3.02
As1 0.0000 0.0000 0.0000 x2  4 Pr 3.01, 2 Y 3.02
As2 0.0983 0.2947 0.5000 x8  1 Y 2.97, 5 Pr 3.02-3.06



(3)
A geometry-optimized Pr3Y5As8 structure. Source: Alexandria, functional PBE.

## Properties
Size of the total moment   0.00 μB/cell
ρ   5.8 g cm⁻³
Energy of formation from the pure elements   -1.53 eV/atom

Cell lengths 8.3905, 8.3905, 20.5399 Å; angles 90.00, 90.00, 120.00 degrees
Closest atoms and distances in Å follow each position.
Space group R-3m (No. 166, hexagonal axes)
Inequivalent atoms, fractional coordinates:
Pr1 0.0000 0.5000 0.0000 x9  6 As 3.01
Y1 0.0000 0.0000 0.0000 x3  6 As 2.97
Y2 0.0000 0.0000 0.5000 x3  6 As 2.97
Y3 0.0000 0.5000 0.5000 x9  6 As 2.92
As1 0.0000 0.0000 0.2463 x6  3 Y 2.92, 3 Pr 3.01
As2 0.0048 0.5024 0.7524 x18  4 Y 2.92-2.97, 2 Pr 3.01



(4)
A geometry-optimized PrY2As3 structure. Source: Alexandria, functional PBE.

## Properties
Size of the total moment   0.00 μB/cell
ρ   5.8 g cm⁻³
Energy of formation from the pure elements   -1.53 eV/atom

Cell lengths 4.1880, 5.9300, 12.5528 Å; angles 90.00, 90.00, 90.00 degrees
Closest atoms and distances in Å follow each position.
Space group Immm (No. 71)
Inequivalent atoms, fractional coordinates:
Pr1 0.0000 0.0000 0.0000 x2  6 As 2.96-3.01
Y1 0.0000 0.0000 0.3342 x4  6 As 2.92-2.97
As1 0.0000 0.5000 0.0000 x2  4 Y 2.95, 2 Pr 2.96
As2 0.0000 0.5000 0.3277 x4  4 Y 2.92-2.97, 2 Pr 3.01



(5)
A geometry-optimized PrYAs structure. Source: Alexandria, functional PBE.

## Properties
Size of the total moment   0.00 μB/cell
ρ   5.5 g cm⁻³
Energy of formation from the pure elements   -0.83 eV/atom

Cell lengths 8.4077, 11.6910, 7.4832 Å; angles 90.00, 90.00, 90.00 degrees
Closest atoms and distances in Å follow each position.
Space group Cmce (No. 64)
Inequivalent atoms, fractional coordinates:
Pr1 0.0000 0.2137 0.1728 x8  2 As 2.91-3.08
Y1 0.2154 0.0000 0.5000 x8  4 As 2.87-2.92
As1 0.0000 0.0484 0.7884 x8  4 Y 2.87-2.92, 2 Pr 2.91-3.08



(6)
A geometry-optimized PrYAs structure. Source: Alexandria, functional PBE.

## Properties
Size of the total moment   1.08 μB/cell
ρ   5.3 g cm⁻³
Energy of formation from the pure elements   -0.86 eV/atom

Cell lengths 4.0567, 4.0567, 6.6655 Å; angles 90.00, 90.00, 120.00 degrees
Closest atoms and distances in Å follow each position.
Space group P3m1 (No. 156)
Inequivalent atoms, fractional coordinates:
Pr1 0.0000 0.0000 0.0000 x1  3 As 2.96
Y1 0.6667 0.3333 0.4846 x1  3 As 2.85
As1 0.3333 0.6667 0.7282 x1  3 Y 2.85, 3 Pr 2.96



(7)
A geometry-optimized PrY4As5 structure. Source: Alexandria, functional PBE.

## Properties
Size of the total moment   0.00 μB/cell
ρ   5.7 g cm⁻³
Energy of formation from the pure elements   -1.54 eV/atom

Cell lengths 4.1622, 5.8907, 20.8010 Å; angles 90.00, 90.00, 90.00 degrees
Closest atoms and distances in Å follow each position.
Space group Immm (No. 71)
Inequivalent atoms, fractional coordinates:
Pr1 0.0000 0.0000 0.0000 x2  6 As 2.95-3.00
Y1 0.0000 0.0000 0.2018 x4  6 As 2.91-2.95
Y2 0.0000 0.0000 0.3991 x4  6 As 2.92-2.96
As1 0.0000 0.5000 0.0000 x2  2 Pr 2.95, 4 Y 2.96
As2 0.0000 0.5000 0.1996 x4  6 Y 2.92-2.95
As3 0.0000 0.5000 0.3960 x4  4 Y 2.91-2.95, 2 Pr 3.00



(8)
A geometry-optimized Pr2YAs3 structure. Source: Alexandria, functional PBE.

## Properties
Size of the total moment   0.00 μB/cell
ρ   6.1 g cm⁻³
Energy of formation from the pure elements   -1.50 eV/atom

Cell lengths 4.2520, 4.2520, 18.0202 Å; angles 90.00, 90.00, 90.00 degrees
Closest atoms and distances in Å follow each position.
Space group I4/mmm (No. 139)
Inequivalent atoms, fractional coordinates:
Pr1 0.0000 0.0000 0.1660 x4  6 As 2.99-3.07
Y1 0.0000 0.0000 0.5000 x2  6 As 2.95-3.01
As1 0.0000 0.0000 0.0000 x2  2 Pr 2.99, 4 Y 3.01
As2 0.0000 0.0000 0.3363 x4  1 Y 2.95, 5 Pr 3.01-3.07



(9)
A geometry-optimized Pr5YAs6 structure. Source: Alexandria, functional PBE.

## Properties
Size of the total moment   0.00 μB/cell
ρ   6.2 g cm⁻³
Energy of formation from the pure elements   -1.50 eV/atom

Cell lengths 7.4139, 12.8374, 7.4125 Å; angles 90.00, 109.50, 90.00 degrees
Closest atoms and distances in Å follow each position.
Space group C2/m (No. 12)
Inequivalent atoms, fractional coordinates:
Pr1 0.0000 0.0000 0.0000 x2  6 As 3.03-3.07
Pr2 0.0000 0.1663 0.5000 x4  6 As 3.03
Pr3 0.0000 0.3323 0.0000 x4  6 As 3.03-3.06
Y1 0.0000 0.5000 0.5000 x2  6 As 2.98
As1 0.2453 0.5000 0.2529 x4  1 Y 2.98, 5 Pr 3.03-3.07
As2 0.2459 0.3360 0.7462 x8  1 Y 2.98, 5 Pr 3.03-3.06



(10)
A geometry-optimized Pr4YAs5 structure. Source: Alexandria, functional PBE.

## Properties
Size of the total moment   0.00 μB/cell
ρ   6.2 g cm⁻³
Energy of formation from the pure elements   -1.50 eV/atom

Cell lengths 4.2768, 4.2768, 30.1913 Å; angles 90.00, 90.00, 90.00 degrees
Closest atoms and distances in Å follow each position.
Space group I4/mmm (No. 139)
Inequivalent atoms, fractional coordinates:
Pr1 0.0000 0.0000 0.0988 x4  6 As 2.98-3.05
Pr2 0.0000 0.0000 0.3008 x4  6 As 3.02-3.07
Y1 0.0000 0.0000 0.5000 x2  6 As 2.95-3.02
As1 0.0000 0.0000 0.0000 x2  2 Pr 2.98, 4 Y 3.02
As2 0.0000 0.0000 0.1998 x4  6 Pr 3.02-3.05
As3 0.0000 0.0000 0.4023 x4  1 Y 2.95, 5 Pr 3.02-3.07



(11)
A geometry-optimized Pr2YZrAs4 structure. Source: Alexandria, functional PBE.

## Properties
Size of the total moment   0.00 μB/cell
ρ   6.3 g cm⁻³
Energy of formation from the pure elements   -1.41 eV/atom

Cell lengths 7.1652, 4.1368, 7.1838 Å; angles 90.00, 109.28, 90.00 degrees
Closest atoms and distances in Å follow each position.
Space group P2/m (No. 10)
Inequivalent atoms, fractional coordinates:
Pr1 0.0000 0.0000 0.0000 x1  6 As 3.04
Pr2 0.5000 0.5000 0.0000 x1  6 As 2.97-2.98
Y1 0.0000 0.5000 0.5000 x1  6 As 2.89
Zr1 0.5000 0.0000 0.5000 x1  6 As 2.81-2.83
As1 0.2523 0.0000 0.7327 x2  1 Zr 2.81, 2 Y 2.89, 3 Pr 2.98-3.04
As2 0.2644 0.5000 0.2717 x2  2 Zr 2.83, 1 Y 2.89, 3 Pr 2.97-3.04



(12)
A geometry-optimized Pr3Zn2As6 structure. Source: Alexandria, functional PBE.

## Properties
Excess energy over the best structure of this formula in the dataset   0.000 eV/atom
Size of the total moment   0.00 μB/cell
ρ   6.6 g cm⁻³
Energy of formation from the pure elements   -0.88 eV/atom

Cell lengths 4.0286, 12.1802, 10.3264 Å; angles 90.00, 90.00, 90.00 degrees
Closest atoms and distances in Å follow each position.
Space group Pmmn (No. 59, origin choice 2)
Inequivalent atoms, fractional coordinates:
Pr1 0.2500 0.0877 0.2288 x4  8 As 3.04-3.14
Pr2 0.2500 0.7500 0.2346 x2  8 As 3.11-3.14, 2 Zn 3.34
Zn1 0.2500 0.5959 0.5025 x4  4 As 2.49-2.65
As1 0.2500 0.0816 0.6510 x4  3 Zn 2.57-2.65
As2 0.2500 0.2500 0.9961 x2  4 As 2.86, 4 Pr 3.11-3.12
As3 0.2500 0.5831 0.0028 x4  4 As 2.86, 4 Pr 3.13-3.14
As4 0.2500 0.7500 0.6608 x2  2 Zn 2.49